GaGeAs2 | GGA-PBE | optimized geometry

```
GaGeAs2
1.0
2.019 1.166 7.335
-2.019 1.166 7.335
0.000 -2.331 7.335
Ga Ge As
1 1 2
Cartesian
0.000 0.000 0.000 Ga
0.000 0.000 11.003 Ge
0.000 0.000 2.357 As
0.000 0.000 19.649 As
```

Summary:
- Size of the total moment: 0.0 μB per formula unit
- Distance to the lowest polymorph of the same formula: 372 meV/atom
- Symmetry: R-3m, No. 166
- Formation energy: 0.3277 eV/atom
- Electronic total energy: -3.908 eV/atom
- Fermi-level density of states: 0.529 states/eV/atom

***

Ga3GeAs | GGA-PBE | optimized geometry

```
Ga3GeAs
1.0
4.889 0.000 0.000
0.000 4.889 0.000
0.000 0.000 4.889
Ga Ge As
3 1 1
Cartesian
0.000 0.000 2.445 Ga
0.000 2.445 0.000 Ga
2.445 0.000 0.000 Ga
0.000 0.000 0.000 Ge
2.445 2.445 2.445 As
```

Summary:
- Size of the total moment: 0.0 μB per formula unit
- Distance to the lowest polymorph of the same formula: 0 meV/atom
- Symmetry: Pm-3m, No. 221
- Formation energy: 0.4383 eV/atom
- Electronic total energy: -3.231 eV/atom
- Fermi-level density of states: 0.270 states/eV/atom

***

Ga2Ge2As | GGA-PBE | optimized geometry

```
Ga2Ge2As
1.0
7.915 0.000 0.000
0.000 7.915 0.000
0.000 0.000 3.128
Ga Ge As
4 4 2
Cartesian
1.010 2.947 0.000 Ga
2.947 6.905 0.000 Ga
4.967 1.010 0.000 Ga
6.905 4.967 0.000 Ga
1.382 5.339 1.564 Ge
2.575 1.382 1.564 Ge
5.339 6.533 1.564 Ge
6.533 2.575 1.564 Ge
0.000 0.000 1.564 As
3.957 3.957 1.564 As
```

Summary:
- Size of the total moment: 0.0 μB per formula unit
- Distance to the lowest polymorph of the same formula: 0 meV/atom
- Symmetry: P4/mbm, No. 127
- Formation energy: 0.2165 eV/atom
- Electronic total energy: -3.771 eV/atom
- Fermi-level density of states: 0.474 states/eV/atom

***

GaGeAs2 | GGA-PBE | optimized geometry

```
GaGeAs2
1.0
0.000 3.384 3.384
3.384 0.000 3.384
3.384 3.384 0.000
Ga Ge As
1 1 2
Cartesian
0.000 0.000 0.000 Ga
3.384 3.384 3.384 Ge
1.692 1.692 1.692 As
5.076 5.076 5.076 As
```

Summary:
- Size of the total moment: 0.0 μB per formula unit
- Distance to the lowest polymorph of the same formula: 314 meV/atom
- Symmetry: Fm-3m, No. 225
- Formation energy: 0.2694 eV/atom
- Electronic total energy: -3.966 eV/atom
- Fermi-level density of states: 0.549 states/eV/atom

***

Ga2GeAs | GGA-PBE | optimized geometry

```
Ga2GeAs
1.0
-2.916 2.916 5.659
2.916 -2.916 5.659
2.916 2.916 -5.659
Ga Ge As
4 2 2
Cartesian
4.373 1.455 -1.415 Ga
1.455 1.458 1.415 Ga
-1.458 1.461 4.244 Ga
1.461 1.458 7.073 Ga
2.916 0.000 2.829 Ge
0.000 0.000 5.659 Ge
0.000 0.000 0.000 As
0.000 2.916 2.829 As
```

Summary:
- Size of the total moment: 0.0 μB per formula unit
- Distance to the lowest polymorph of the same formula: 0 meV/atom
- Symmetry: I-42d, No. 122
- Formation energy: -0.0756 eV/atom
- Electronic total energy: -3.906 eV/atom
- Fermi-level density of states: 0.495 states/eV/atom

***

K2Ga2Ge2As | GGA-PBE | optimized geometry

```
K2Ga2Ge2As
1.0
4.383 0.000 0.000
2.189 5.530 0.000
2.181 -0.556 7.656
K Ga Ge As
2 2 2 1
Cartesian
1.096 0.623 1.385 K
7.658 4.351 6.271 K
3.284 3.002 2.510 Ga
5.470 1.972 5.146 Ga
3.278 0.948 4.145 Ge
5.476 4.026 3.511 Ge
3.286 2.765 0.000 As
```

Summary:
- Size of the total moment: 0.0 μB per formula unit
- Symmetry: P-1, No. 2
- Formation energy: -0.1749 eV/atom
- Electronic total energy: -3.337 eV/atom
- Fermi-level density of states: 0.393 states/eV/atom

***

LiGaGeAs2 | GGA-PBE | optimized geometry

```
LiGaGeAs2
1.0
4.674 0.000 0.000
0.000 4.674 0.000
0.000 0.000 4.615
Li Ga Ge As
1 1 1 2
Cartesian
0.000 0.000 0.000 Li
0.000 0.000 2.307 Ga
2.337 2.337 2.307 Ge
0.000 2.337 0.000 As
2.337 0.000 0.000 As
```

Summary:
- Size of the total moment: 0.0 μB per formula unit
- Symmetry: P4/mmm, No. 123
- Formation energy: 0.3961 eV/atom
- Electronic total energy: -3.375 eV/atom
- Fermi-level density of states: 0.536 states/eV/atom

***

GaGe2MoAs | GGA-PBE | optimized geometry

```
GaGe2MoAs
1.0
4.782 0.000 0.000
0.000 4.782 0.000
0.000 0.000 4.978
Ga Ge Mo As
1 2 1 1
Cartesian
0.000 0.000 0.000 Ga
0.000 2.391 0.000 Ge
2.391 0.000 0.000 Ge
2.391 2.391 2.489 Mo
0.000 0.000 2.489 As
```

Summary:
- Size of the total moment: 3.7 μB per formula unit
- Symmetry: P4/mmm, No. 123
- Formation energy: 1.1645 eV/atom
- Electronic total energy: -4.384 eV/atom
- Fermi-level density of states: 0.560 states/eV/atom